# BeAgRu2, relaxed, DFT PBE-GGA
# **M_tot**: 0.01 μB per atom
# **SG**: No. 47
# **V**: 14.01 Å³ per atom
data_BeAgRu2
_space_group_name_H-M_alt 'P 1'
_space_group_IT_number 1
_cell_length_a 2.785
_cell_length_b 4.412
_cell_length_c 4.561
_cell_angle_alpha 90.00
_cell_angle_beta 90.00
_cell_angle_gamma 90.00
loop_
_space_group_symop_operation_xyz
'x,y,z'
loop_
_atom_site_label
_atom_site_fract_x
_atom_site_fract_y
_atom_site_fract_z
_atom_site_occupancy
Be1 0.000 0.000 0.000 1
Ag1 0.500 0.500 0.000 1
Ru1 0.000 0.500 0.500 1
Ru2 0.500 0.000 0.500 1


# BeAg3Ru, relaxed, DFT PBE-GGA
# **M_tot**: 0.27 μB per atom
# **SG**: No. 221
# **V**: 16.43 Å³ per atom
data_BeAg3Ru
_space_group_name_H-M_alt 'P 1'
_space_group_IT_number 1
_cell_length_a 4.347
_cell_length_b 4.347
_cell_length_c 4.347
_cell_angle_alpha 90.00
_cell_angle_beta 90.00
_cell_angle_gamma 90.00
loop_
_space_group_symop_operation_xyz
'x,y,z'
loop_
_atom_site_label
_atom_site_fract_x
_atom_site_fract_y
_atom_site_fract_z
_atom_site_occupancy
Be1 0.000 0.000 0.000 1
Ag1 0.000 0.000 0.500 1
Ag2 0.000 0.500 0.000 1
Ag3 0.500 0.000 0.000 1
Ru1 0.500 0.500 0.500 1


# BeAgRu2, relaxed, DFT PBE-GGA
# **M_tot**: 0.00 μB per atom
# **SG**: No. 99
# **V**: 13.40 Å³ per atom
data_BeAgRu2
_space_group_name_H-M_alt 'P 1'
_space_group_IT_number 1
_cell_length_a 2.789
_cell_length_b 2.789
_cell_length_c 6.890
_cell_angle_alpha 90.00
_cell_angle_beta 90.00
_cell_angle_gamma 90.00
loop_
_space_group_symop_operation_xyz
'x,y,z'
loop_
_atom_site_label
_atom_site_fract_x
_atom_site_fract_y
_atom_site_fract_z
_atom_site_occupancy
Be1 0.000 0.000 0.000 1
Ag1 0.500 0.500 0.765 1
Ru1 0.000 0.000 0.450 1
Ru2 0.500 0.500 0.204 1


# BeAgRu2, relaxed, DFT PBE-GGA
# **M_tot**: 0.00 μB per atom
# **SG**: No. 122
# **V**: 15.08 Å³ per atom
data_BeAgRu2
_space_group_name_H-M_alt 'P 1'
_space_group_IT_number 1
_cell_length_a 3.610
_cell_length_b 3.610
_cell_length_c 18.511
_cell_angle_alpha 90.00
_cell_angle_beta 90.00
_cell_angle_gamma 90.00
loop_
_space_group_symop_operation_xyz
'x,y,z'
loop_
_atom_site_label
_atom_site_fract_x
_atom_site_fract_y
_atom_site_fract_z
_atom_site_occupancy
Be1 0.000 0.000 0.000 1
Be2 0.000 0.500 0.250 1
Be3 0.500 0.000 0.750 1
Be4 0.500 0.500 0.500 1
Ag1 0.000 0.000 0.500 1
Ag2 0.000 0.500 0.750 1
Ag3 0.500 0.000 0.250 1
Ag4 0.500 0.500 0.000 1
Ru1 0.213 0.250 0.125 1
Ru2 0.250 0.713 0.375 1
Ru3 0.250 0.787 0.875 1
Ru4 0.287 0.250 0.625 1
Ru5 0.713 0.750 0.625 1
Ru6 0.750 0.213 0.875 1
Ru7 0.750 0.287 0.375 1
Ru8 0.787 0.750 0.125 1


| no. | energy relative to the elements (eV/atom) | E_tot (eV/atom) |
| --- | --- | --- |
| 1 | 0.471 | -5.81 |
| 2 | 0.815 | -3.50 |
| 3 | 0.069 | -6.21 |
| 4 | 0.719 | -5.56 |